A relaxed structure of LaTbBi2, computed with PBE.

a = 7.9769 Å, b = 4.6097 Å, c = 7.9501 Å
α = 90.00°, β = 109.59°, γ = 90.00°
Closest atoms and distances in Å follow each position.
Space group C2/m (No. 12)
Asymmetric unit:
La: 0.0000 0.0000 0.0000 (multiplicity 2)  6 Bi 3.30-3.31
Tb: 0.0000 0.5000 0.5000 (multiplicity 2)  6 Bi 3.20
Bi: 0.2461 0.0000 0.7383 (multiplicity 4)  3 Tb 3.20, 3 La 3.30-3.31

Summary:
V: 34.4 Å³/atom
energy of formation: -372.8 kJ/mol of formula units
M_tot: 0.0 μB per cell
energy: -5.296 eV per atom

A relaxed structure of HfAlCr3, computed with PBE.

a = 4.4386 Å, b = 4.4386 Å, c = 4.4386 Å
α = 90.00°, β = 90.00°, γ = 90.00°
Closest atoms and distances in Å follow each position.
Space group Pm-3m (No. 221)
Asymmetric unit:
Hf: 0.0000 0.0000 0.0000 (multiplicity 1)  12 Cr 3.14
Al: 0.5000 0.5000 0.5000 (multiplicity 1)  6 Cr 2.22
Cr: 0.0000 0.5000 0.5000 (multiplicity 3)  2 Al 2.22

Summary:
V: 17.5 Å³/atom
energy of formation: 523.3 kJ/mol of formula units
M_tot: 6.7 μB per cell
energy: -7.429 eV per atom